VASP calculation (GGA-PBE) on a geometry-optimized NbBMo3 structure. Values from VASP.

The structure in Quantum ESPRESSO input format:
```
&SYSTEM
  ibrav = 0, nat = 5, ntyp = 3
/
ATOMIC_SPECIES
Mo 95.94 Mo.upf
B 10.81 B.upf
Nb 92.91 Nb.upf
CELL_PARAMETERS angstrom
4.718 0.000 0.000
0.000 4.718 0.000
0.000 0.000 4.718
ATOMIC_POSITIONS crystal
Mo 0.500 0.000 0.000
Mo 0.000 0.500 0.000
Mo 0.000 0.000 0.500
B 0.500 0.500 0.500
Nb 0.000 0.000 0.000
```

Values from the calculation:
Relative energy among the computed polymorphs in eV/atom: 2.562
Uncorrected energy in eV per cell: -35.60
ΔE_f in meV/atom: 2727
Density of states at the Fermi level in states/eV/atom: 1.1155

VASP calculation (GGA-PBE) on a geometry-optimized NbBMo3 structure. Values from VASP.

The structure in Quantum ESPRESSO input format:
```
&SYSTEM
  ibrav = 0, nat = 5, ntyp = 3
/
ATOMIC_SPECIES
Mo 95.94 Mo.upf
Nb 92.91 Nb.upf
B 10.81 B.upf
CELL_PARAMETERS angstrom
-3.612 -0.980 1.995
-1.049 -2.605 -3.178
1.960 -3.200 1.976
ATOMIC_POSITIONS crystal
Mo 0.500 0.000 0.000
Mo 0.000 0.000 0.500
Mo 0.000 0.500 0.000
Nb 0.500 0.500 0.500
B 0.000 0.000 0.000
```

Values from the calculation:
Relative energy among the computed polymorphs in eV/atom: 0.000
Uncorrected energy in eV per cell: -48.41
ΔE_f in meV/atom: 166
Density of states at the Fermi level in states/eV/atom: 1.2771

VASP calculation (GGA-PBE) on a geometry-optimized Nb2B6Mo structure. Values from VASP.

The structure in Quantum ESPRESSO input format:
```
&SYSTEM
  ibrav = 0, nat = 9, ntyp = 3
/
ATOMIC_SPECIES
B 10.81 B.upf
Nb 92.91 Nb.upf
Mo 95.94 Mo.upf
CELL_PARAMETERS angstrom
-1.317 -1.693 -2.545
3.041 2.787 -3.427
1.835 -4.582 2.098
ATOMIC_POSITIONS crystal
B 0.500 0.332 0.000
B 0.500 0.332 0.332
B 0.500 0.668 0.000
B 0.500 0.000 0.332
B 0.500 0.000 0.668
B 0.500 0.668 0.668
Nb 0.000 0.667 0.333
Nb 0.000 0.333 0.667
Mo 0.000 0.000 0.000
```

Values from the calculation:
Uncorrected energy in eV per cell: -76.06
ΔE_f in meV/atom: -558
Density of states at the Fermi level in states/eV/atom: 0.5267

VASP calculation (GGA-PBE) on a geometry-optimized NbBMo structure. Values from VASP.

The structure in Quantum ESPRESSO input format:
```
&SYSTEM
  ibrav = 0, nat = 6, ntyp = 3
/
ATOMIC_SPECIES
Nb 92.91 Nb.upf
Mo 95.94 Mo.upf
B 10.81 B.upf
CELL_PARAMETERS angstrom
-3.714 -3.166 0.554
0.303 -0.890 -3.052
3.829 -3.473 1.393
ATOMIC_POSITIONS crystal
Nb 0.885 0.000 0.177
Nb 0.885 0.500 0.677
Mo 0.358 0.000 0.799
Mo 0.358 0.500 0.299
B 0.606 0.000 0.487
B 0.606 0.500 0.987
```

Values from the calculation:
Relative energy among the computed polymorphs in eV/atom: 0.238
Uncorrected energy in eV per cell: -56.83
ΔE_f in meV/atom: -279
Density of states at the Fermi level in states/eV/atom: 0.4161

VASP calculation (GGA-PBE) on a geometry-optimized Nb2B2Mo structure. Values from VASP.

The structure in Quantum ESPRESSO input format:
```
&SYSTEM
  ibrav = 0, nat = 10, ntyp = 3
/
ATOMIC_SPECIES
B 10.81 B.upf
Nb 92.91 Nb.upf
Mo 95.94 Mo.upf
CELL_PARAMETERS angstrom
-2.122 -3.162 4.809
5.746 -0.867 1.966
-0.179 2.786 1.753
ATOMIC_POSITIONS crystal
B 0.108 0.392 0.000
B 0.892 0.608 0.000
B 0.608 0.108 0.000
B 0.392 0.892 0.000
Nb 0.179 0.679 0.500
Nb 0.679 0.821 0.500
Nb 0.321 0.179 0.500
Nb 0.821 0.321 0.500
Mo 0.000 0.000 0.000
Mo 0.500 0.500 0.000
```

Values from the calculation:
Relative energy among the computed polymorphs in eV/atom: 0.000
Uncorrected energy in eV per cell: -95.21
ΔE_f in meV/atom: -656
Density of states at the Fermi level in states/eV/atom: 0.1945

VASP calculation (GGA-PBE) on a geometry-optimized Nb2B2Mo structure. Values from VASP.

The structure in Quantum ESPRESSO input format:
```
&SYSTEM
  ibrav = 0, nat = 10, ntyp = 3
/
ATOMIC_SPECIES
Nb 92.91 Nb.upf
B 10.81 B.upf
Mo 95.94 Mo.upf
CELL_PARAMETERS angstrom
4.500 0.000 0.000
0.000 4.786 0.000
0.000 -2.393 6.378
ATOMIC_POSITIONS crystal
Nb 0.750 0.398 0.796
Nb 0.750 0.780 0.560
Nb 0.250 0.220 0.440
Nb 0.250 0.602 0.204
B 0.750 0.339 0.291
B 0.250 0.661 0.709
B 0.250 0.047 0.709
B 0.750 0.953 0.291
Mo 0.500 0.000 0.000
Mo 0.000 0.000 0.000
```

Values from the calculation:
Relative energy among the computed polymorphs in eV/atom: 0.790
Uncorrected energy in eV per cell: -87.31
ΔE_f in meV/atom: 134
Density of states at the Fermi level in states/eV/atom: 0.5103

VASP calculation (GGA-PBE) on a geometry-optimized Nb4B20Mo11 structure. Values from VASP.

The structure in Quantum ESPRESSO input format:
```
&SYSTEM
  ibrav = 0, nat = 35, ntyp = 3
/
ATOMIC_SPECIES
B 10.81 B.upf
Mo 95.94 Mo.upf
Nb 92.91 Nb.upf
CELL_PARAMETERS angstrom
3.103 0.000 0.000
0.000 3.207 0.000
-1.552 -1.604 34.965
ATOMIC_POSITIONS crystal
B 0.727 0.727 0.454
B 0.873 0.873 0.747
B 0.213 0.713 0.426
B 0.414 0.914 0.827
B 0.387 0.887 0.774
B 0.127 0.127 0.253
B 0.813 0.313 0.627
B 0.327 0.327 0.654
B 0.187 0.687 0.373
B 0.527 0.527 0.054
B 0.073 0.073 0.145
B 0.013 0.513 0.026
B 0.586 0.086 0.173
B 0.613 0.113 0.226
B 0.273 0.273 0.546
B 0.787 0.287 0.574
B 0.473 0.473 0.946
B 0.987 0.487 0.974
B 0.673 0.673 0.346
B 0.927 0.927 0.855
Mo 0.036 0.036 0.073
Mo 0.964 0.964 0.927
Mo 0.837 0.837 0.675
Mo 0.437 0.437 0.875
Mo 0.363 0.363 0.726
Mo 0.237 0.237 0.474
Mo 0.763 0.763 0.526
Mo 0.500 0.000 0.000
Mo 0.163 0.163 0.325
Mo 0.637 0.637 0.274
Mo 0.563 0.563 0.125
Nb 0.300 0.800 0.600
Nb 0.900 0.400 0.801
Nb 0.100 0.600 0.199
Nb 0.700 0.200 0.400
```

Values from the calculation:
Uncorrected energy in eV per cell: -312.40
ΔE_f in meV/atom: -555
Density of states at the Fermi level in states/eV/atom: 0.4108

VASP calculation (GGA-PBE) on a geometry-optimized NbBMo structure. Values from VASP.

The structure in Quantum ESPRESSO input format:
```
&SYSTEM
  ibrav = 0, nat = 12, ntyp = 3
/
ATOMIC_SPECIES
Nb 92.91 Nb.upf
B 10.81 B.upf
Mo 95.94 Mo.upf
CELL_PARAMETERS angstrom
5.363 0.000 0.005
0.000 3.284 0.000
-5.101 0.000 9.489
ATOMIC_POSITIONS crystal
Nb 0.519 0.500 0.175
Nb 0.519 0.000 0.675
Nb 0.194 0.000 0.899
Nb 0.194 0.500 0.399
B 0.656 0.500 0.569
B 0.656 0.000 0.069
B 0.855 0.000 0.274
B 0.855 0.500 0.774
Mo 0.734 0.000 0.443
Mo 0.107 0.000 0.166
Mo 0.734 0.500 0.943
Mo 0.107 0.500 0.666
```

Values from the calculation:
Relative energy among the computed polymorphs in eV/atom: 0.352
Uncorrected energy in eV per cell: -112.29
ΔE_f in meV/atom: -164
Density of states at the Fermi level in states/eV/atom: 0.5010

VASP calculation (GGA-PBE) on a geometry-optimized NbBMo2 structure. Values from VASP.

The structure in Quantum ESPRESSO input format:
```
&SYSTEM
  ibrav = 0, nat = 8, ntyp = 3
/
ATOMIC_SPECIES
Nb 92.91 Nb.upf
Mo 95.94 Mo.upf
B 10.81 B.upf
CELL_PARAMETERS angstrom
7.218 0.000 0.000
0.000 7.218 0.000
3.609 3.609 2.318
ATOMIC_POSITIONS crystal
Nb 0.750 0.250 0.500
Nb 0.000 0.000 0.000
Mo 0.527 0.125 0.250
Mo 0.875 0.777 0.750
Mo 0.375 0.473 0.750
Mo 0.223 0.625 0.250
B 0.250 0.750 0.500
B 0.500 0.500 0.000
```

Values from the calculation:
Uncorrected energy in eV per cell: -75.51
ΔE_f in meV/atom: 164
Density of states at the Fermi level in states/eV/atom: 0.4322

VASP calculation (GGA-PBE) on a geometry-optimized NbBMo structure. Values from VASP.

The structure in Quantum ESPRESSO input format:
```
&SYSTEM
  ibrav = 0, nat = 18, ntyp = 3
/
ATOMIC_SPECIES
Mo 95.94 Mo.upf
Nb 92.91 Nb.upf
B 10.81 B.upf
CELL_PARAMETERS angstrom
3.259 0.000 0.000
0.000 6.653 0.000
0.000 0.000 10.960
ATOMIC_POSITIONS crystal
Mo 0.500 0.438 0.115
Mo 0.500 0.562 0.885
Mo 0.500 0.810 0.250
Mo 0.500 0.562 0.615
Mo 0.500 0.438 0.385
Mo 0.500 0.190 0.750
Nb 0.000 0.843 0.750
Nb 0.000 0.790 0.450
Nb 0.000 0.157 0.250
Nb 0.000 0.790 0.050
Nb 0.000 0.210 0.950
Nb 0.000 0.210 0.550
B 0.500 0.059 0.088
B 0.000 0.558 0.250
B 0.000 0.442 0.750
B 0.500 0.941 0.912
B 0.500 0.941 0.588
B 0.500 0.059 0.412
```

Values from the calculation:
Relative energy among the computed polymorphs in eV/atom: 0.118
Uncorrected energy in eV per cell: -172.63
ΔE_f in meV/atom: -398
Density of states at the Fermi level in states/eV/atom: 0.5021

VASP calculation (GGA-PBE) on a geometry-optimized NbBMo structure. Values from VASP.

The structure in Quantum ESPRESSO input format:
```
&SYSTEM
  ibrav = 0, nat = 3, ntyp = 3
/
ATOMIC_SPECIES
B 10.81 B.upf
Mo 95.94 Mo.upf
Nb 92.91 Nb.upf
CELL_PARAMETERS angstrom
3.061 0.000 0.007
0.000 3.338 0.000
-1.513 0.000 4.129
ATOMIC_POSITIONS crystal
B 0.557 0.500 0.877
Mo 0.848 0.500 0.473
Nb 0.132 0.000 0.018
```

Values from the calculation:
Relative energy among the computed polymorphs in eV/atom: 0.504
Uncorrected energy in eV per cell: -27.61
ΔE_f in meV/atom: -12
Density of states at the Fermi level in states/eV/atom: 0.6214

VASP calculation (GGA-PBE) on a geometry-optimized NbBMo structure. Values from VASP.

The structure in Quantum ESPRESSO input format:
```
&SYSTEM
  ibrav = 0, nat = 12, ntyp = 3
/
ATOMIC_SPECIES
B 10.81 B.upf
Mo 95.94 Mo.upf
Nb 92.91 Nb.upf
CELL_PARAMETERS angstrom
-2.123 2.079 4.467
-2.909 -0.425 -1.185
1.567 -10.829 0.035
ATOMIC_POSITIONS crystal
B 0.257 0.500 0.751
B 0.743 0.500 0.249
B 0.743 0.000 0.749
B 0.257 0.000 0.251
Mo 0.699 0.000 0.374
Mo 0.301 0.000 0.626
Mo 0.699 0.500 0.874
Mo 0.301 0.500 0.126
Nb 0.201 0.000 0.888
Nb 0.799 0.500 0.612
Nb 0.201 0.500 0.388
Nb 0.799 0.000 0.112
```

Values from the calculation:
Relative energy among the computed polymorphs in eV/atom: 0.226
Uncorrected energy in eV per cell: -113.80
ΔE_f in meV/atom: -291
Density of states at the Fermi level in states/eV/atom: 0.2792